(1)
The following is a GGA-PBE calculation of crystalline YHoHgOs at its relaxed geometry, from Alexandria via LeMat-Bulk.

Cell lengths 7.085, 7.085, 7.085 Å; angles 90.00, 90.00, 90.00 degrees
Space group F-43m (No. 216)
Asymmetric unit:
Y 0.000 0.000 0.000
Ho 0.000 0.000 0.500
Hg 0.250 0.250 0.250
Os 0.250 0.250 0.750

- Total DFT energy (no corrections): -5.910 eV per atom
- Size of the total moment: 0.0 μB per formula unit
- Calculated formation energy: -0.267 eV per atom

=====

(2)
The following is a GGA-PBE calculation of crystalline CrB3Ru at its relaxed geometry, from Alexandria via LeMat-Bulk.

Cell lengths 3.741, 3.741, 3.741 Å; angles 90.00, 90.00, 90.00 degrees
Space group Pm-3m (No. 221)
Asymmetric unit:
Cr 0.000 0.000 0.000
B 0.000 0.000 0.500
Ru 0.500 0.500 0.500

- Offset from the most stable computed form: 0 meV/atom
- Total DFT energy (no corrections): -6.575 eV per atom
- Size of the total moment: 0.0 μB per formula unit
- Calculated formation energy: 1.211 eV per atom

=====

(3)
The following is a GGA-PBE calculation of crystalline U2CS at its relaxed geometry, from Alexandria via LeMat-Bulk.

Cell lengths 3.610, 5.287, 7.502 Å; angles 90.00, 90.00, 90.00 degrees
Space group Pmmn (No. 59, origin choice 2)
Asymmetric unit:
U 0.250 0.250 0.101
U 0.250 0.250 0.655
C 0.250 0.750 0.125
S 0.250 0.750 0.622

- Formation energy (no corrections): -0.718 eV per atom
- Total DFT energy (no corrections): -9.699 eV per atom
- Size of the total moment: 3.1 μB per formula unit

=====

(4)
The following is a GGA-PBE calculation of crystalline AcNd6Tl4 at its relaxed geometry, from Alexandria via LeMat-Bulk.

Cell lengths 8.098, 8.098, 12.042 Å; angles 90.00, 90.00, 90.00 degrees
Space group I-42m (No. 121)
Asymmetric unit:
Ac 0.000 0.000 0.000
Nd 0.000 0.500 0.000
Nd 0.189 0.189 0.715
Tl 0.165 0.165 0.431

- Total DFT energy (no corrections): -3.943 eV per atom
- Size of the total moment: 0.0 μB per formula unit
- Calculated formation energy: -0.108 eV per atom

=====

Copy entry 2 word for word.
The following is a GGA-PBE calculation of crystalline CrB3Ru at its relaxed geometry, from Alexandria via LeMat-Bulk.

Cell lengths 3.741, 3.741, 3.741 Å; angles 90.00, 90.00, 90.00 degrees
Space group Pm-3m (No. 221)
Asymmetric unit:
Cr 0.000 0.000 0.000
B 0.000 0.000 0.500
Ru 0.500 0.500 0.500

- Offset from the most stable computed form: 0 meV/atom
- Total DFT energy (no corrections): -6.575 eV per atom
- Size of the total moment: 0.0 μB per formula unit
- Calculated formation energy: 1.211 eV per atom